Entry from the Alexandria database: crystalline MgInH6Rh2 at its relaxed geometry (GGA-PBE).

Lattice parameters (Å, degrees): 7.1892 7.1892 4.6439 99.24 99.24 117.07
Closest atoms and distances in Å follow each position.
Positions (direct):
Mg (0.2117, 0.7883, 0.7500)  4 H 2.00-2.22
Mg (0.7883, 0.2117, 0.2500)  4 H 2.00-2.22
In (0.3982, 0.6018, 0.2500)  6 H 2.62-2.80, 6 Rh 2.73-2.81
In (0.6018, 0.3982, 0.7500)  6 H 2.62-2.80, 6 Rh 2.73-2.81
H (0.0316, 0.8394, 0.4310)  1 Rh 1.61
H (0.0478, 0.4575, 0.8127)  1 Rh 1.63
H (0.1606, 0.9684, 0.0690)  1 Rh 1.61
H (0.1882, 0.1964, 0.3469)  2 Rh 1.76, 2 H 1.83-1.97
H (0.1964, 0.1882, 0.8469)  2 Rh 1.76, 2 H 1.83-1.97
H (0.4575, 0.0478, 0.3127)  1 Rh 1.63
H (0.5425, 0.9522, 0.6873)  1 Rh 1.63
H (0.8036, 0.8118, 0.1531)  2 Rh 1.76, 2 H 1.83-1.97
H (0.8118, 0.8036, 0.6531)  2 Rh 1.76, 2 H 1.83-1.97
H (0.8394, 0.0316, 0.9310)  1 Rh 1.61
H (0.9522, 0.5425, 0.1873)  1 Rh 1.63
H (0.9684, 0.1606, 0.5690)  1 Rh 1.61
Rh (0.1980, 0.3813, 0.6563)  4 H 1.61-1.76
Rh (0.3813, 0.1980, 0.1563)  4 H 1.61-1.76
Rh (0.6187, 0.8020, 0.8437)  4 H 1.61-1.76
Rh (0.8020, 0.6187, 0.3437)  4 H 1.61-1.76

## Properties
Space-group type: C2/c
Calculated volume in Å³ per cell: 203
DFT total energy in eV/atom: -4.03
D(E_F) in states/eV/cell: 3.37